# TaGeO (PBE, relaxed)
data_TaGeO
_chemical_formula_sum 'Ta4 Ge4 O4'
_cell_length_a 12.038
_cell_length_b 3.059
_cell_length_c 5.243
_cell_angle_alpha 90.00
_cell_angle_beta 98.25
_cell_angle_gamma 90.00
_symmetry_space_group_name_H-M 'P 1'
_symmetry_Int_Tables_number 1
loop_
_symmetry_equiv_pos_as_xyz
'x,y,z'
loop_
_atom_site_label
_atom_site_type_symbol
_atom_site_fract_x
_atom_site_fract_y
_atom_site_fract_z
Ta1 Ta 0.895 0.000 0.696
Ta2 Ta 0.895 0.500 0.196
Ta3 Ta 0.437 0.000 0.884
Ta4 Ta 0.437 0.500 0.384
Ge1 Ge 0.256 0.000 0.158
Ge2 Ge 0.256 0.500 0.658
Ge3 Ge 0.072 0.000 0.421
Ge4 Ge 0.072 0.500 0.921
O1 O 0.533 0.000 0.252
O2 O 0.533 0.500 0.752
O3 O 0.800 0.000 0.000
O4 O 0.800 0.500 0.500
# Energy relative to the lowest polymorph listed for this composition = 145 meV per atom
# Energy relative to the elements, uncorrected = -1.083 eV per atom
# Crystal system = monoclinic
# Energy = -98.711 eV per cell
# Symmetry = Cm